DFT (PBE) results for crystalline DyTm2Ag3Se6 at its relaxed geometry.

Lattice parameters (Å, degrees): 17.6684 4.1382 8.0626 90.00 101.07 90.00
Space group C2/m (No. 12)
Symmetry-distinct sites (fractional):
Dy1 0.0000 0.0000 0.0000 [2 per cell]
Tm1 0.1669 0.5000 0.3361 [4 per cell]
Ag1 0.0000 0.0000 0.5000 [2 per cell]
Ag2 0.1648 0.5000 0.8380 [4 per cell]
Se1 0.0024 0.5000 0.2493 [4 per cell]
Se2 0.1662 0.0000 0.0914 [4 per cell]
Se3 0.1691 0.0000 0.5804 [4 per cell]

Energy relative to the elements, uncorrected in eV per atom: -1.16
Raw total energy in eV/f.u.: -56.9